No. 1
Computed, not measured: a relaxed Rb2Na5Sn4 crystal at the PBE-GGA level of DFT.

Unit cell a=7.198 b=8.352 c=9.590 alpha=65.15 beta=67.96 gamma=64.47
Fractional coordinates of all 11 atoms:
Na1 0.000 0.500 0.500
Na2 0.622 0.324 0.918
Na3 0.378 0.676 0.082
Na4 0.136 0.324 0.918
Na5 0.864 0.676 0.082
Sn1 0.425 0.976 0.174
Sn2 0.221 0.324 0.234
Sn3 0.575 0.024 0.826
Sn4 0.779 0.676 0.766
Rb1 0.744 0.136 0.377
Rb2 0.256 0.864 0.623

Summary:
The value obtained for the density of states at the Fermi level is 6.8 states/eV/f.u. Its formation energy is -0.121 eV/atom. The calculation puts the spin magnetization at 0.000 μB/atom.

***

No. 2
Computed, not measured: a relaxed RbNa7Sn2 crystal at the PBE-GGA level of DFT.

Unit cell a=5.985 b=8.639 c=8.639 alpha=99.12 beta=90.00 gamma=90.00
Fractional coordinates of all 10 atoms:
Sn1 0.500 0.744 0.256
Sn2 0.500 0.256 0.744
Na1 0.500 0.377 0.104
Na2 0.000 0.687 0.313
Na3 0.500 0.500 0.500
Na4 0.500 0.104 0.377
Na5 0.500 0.896 0.623
Na6 0.500 0.623 0.896
Na7 0.000 0.313 0.687
Rb1 0.000 0.000 0.000

Summary:
The value obtained for the density of states at the Fermi level is 3.8 states/eV/f.u. Its formation energy is -0.024 eV/atom. The calculation puts the spin magnetization at 0.000 μB/atom.

***

No. 3
Computed, not measured: a relaxed RbNa8Sn2 crystal at the PBE-GGA level of DFT.

Unit cell a=6.204 b=10.277 c=8.785 alpha=54.20 beta=81.99 gamma=76.23
Fractional coordinates of all 11 atoms:
Na1 0.918 0.070 0.286
Na2 0.918 0.356 0.714
Na3 0.500 0.725 0.550
Na4 0.082 0.644 0.286
Na5 0.262 0.420 0.000
Na6 0.738 0.580 0.000
Na7 0.500 0.275 0.450
Na8 0.082 0.930 0.714
Sn1 0.000 0.693 0.614
Sn2 0.000 0.307 0.386
Rb1 0.500 0.000 0.000

Summary:
The value obtained for the density of states at the Fermi level is 3.6 states/eV/f.u. Its formation energy is -0.051 eV/atom. The calculation puts the spin magnetization at 0.000 μB/atom.

***

No. 4
Computed, not measured: a relaxed Rb2NaSn6 crystal at the PBE-GGA level of DFT.

Unit cell a=3.257 b=9.900 c=9.900 alpha=59.89 beta=90.00 gamma=90.00
Fractional coordinates of all 9 atoms:
Sn1 0.500 0.308 0.000
Sn2 0.500 0.692 0.308
Sn3 0.500 0.000 0.308
Sn4 0.500 0.308 0.692
Sn5 0.500 0.692 0.000
Sn6 0.500 0.000 0.692
Na1 0.000 0.000 0.000
Rb1 0.000 0.333 0.333
Rb2 0.000 0.667 0.667

Summary:
The value obtained for the density of states at the Fermi level is 2.1 states/eV/f.u. Its formation energy is -0.123 eV/atom. The calculation puts the spin magnetization at 0.000 μB/atom.

***

No. 5
Computed, not measured: a relaxed Rb2Na4Sn crystal at the PBE-GGA level of DFT.

Unit cell a=6.048 b=6.048 c=10.777 alpha=73.70 beta=73.70 gamma=90.00
Fractional coordinates of all 7 atoms:
Rb1 0.638 0.638 0.723
Rb2 0.362 0.362 0.277
Sn1 0.000 0.000 0.000
Na1 0.155 0.155 0.691
Na2 0.500 0.000 0.000
Na3 0.000 0.500 0.000
Na4 0.845 0.845 0.309

Summary:
The value obtained for the density of states at the Fermi level is 2.3 states/eV/f.u. Its formation energy is -0.013 eV/atom. The calculation puts the spin magnetization at 0.000 μB/atom.

***

No. 6
Computed, not measured: a relaxed RbNa4Sn4 crystal at the PBE-GGA level of DFT.

Unit cell a=6.216 b=10.585 c=10.585 alpha=90.00 beta=90.00 gamma=90.00
Fractional coordinates of all 18 atoms:
Na1 0.381 0.615 0.127
Na2 0.619 0.873 0.615
Na3 0.619 0.127 0.385
Na4 0.119 0.885 0.373
Na5 0.381 0.385 0.873
Na6 0.881 0.627 0.885
Na7 0.881 0.373 0.115
Na8 0.119 0.115 0.627
Sn1 0.611 0.166 0.701
Sn2 0.889 0.334 0.799
Sn3 0.889 0.666 0.201
Sn4 0.111 0.201 0.334
Sn5 0.389 0.701 0.834
Sn6 0.111 0.799 0.666
Sn7 0.389 0.299 0.166
Sn8 0.611 0.834 0.299
Rb1 0.500 0.500 0.500
Rb2 0.000 0.000 0.000

Summary:
The value obtained for the density of states at the Fermi level is 4.0 states/eV/f.u. Its formation energy is -0.046 eV/atom. The calculation puts the spin magnetization at 0.000 μB/atom.

***

No. 7
Computed, not measured: a relaxed Rb3Na8Sn2 crystal at the PBE-GGA level of DFT.

Unit cell a=7.110 b=7.110 c=14.199 alpha=75.50 beta=75.50 gamma=60.00
Fractional coordinates of all 13 atoms:
Sn1 0.406 0.406 0.781
Sn2 0.594 0.594 0.219
Na1 0.198 0.705 0.391
Na2 0.705 0.198 0.391
Na3 0.334 0.334 0.997
Na4 0.705 0.705 0.391
Na5 0.666 0.666 0.003
Na6 0.295 0.295 0.609
Na7 0.802 0.295 0.609
Na8 0.295 0.802 0.609
Rb1 0.752 0.752 0.744
Rb2 0.000 0.000 0.000
Rb3 0.248 0.248 0.256

Summary:
The value obtained for the density of states at the Fermi level is 7.5 states/eV/f.u. Its formation energy is 0.057 eV/atom. The calculation puts the spin magnetization at 0.000 μB/atom.

***

No. 8
Computed, not measured: a relaxed RbNa6Sn2 crystal at the PBE-GGA level of DFT.

Unit cell a=5.607 b=8.701 c=8.701 alpha=50.56 beta=70.96 gamma=70.96
Fractional coordinates of all 9 atoms:
Na1 0.291 0.940 0.479
Na2 0.291 0.479 0.940
Na3 0.709 0.521 0.060
Na4 0.500 0.305 0.695
Na5 0.709 0.060 0.521
Na6 0.500 0.695 0.305
Sn1 0.891 0.608 0.608
Sn2 0.109 0.392 0.392
Rb1 0.000 0.000 0.000

Summary:
The value obtained for the density of states at the Fermi level is 4.3 states/eV/f.u. Its formation energy is -0.038 eV/atom. The calculation puts the spin magnetization at 0.000 μB/atom.

***

No. 9
Computed, not measured: a relaxed RbNa7Sn5 crystal at the PBE-GGA level of DFT.

Unit cell a=6.814 b=8.468 c=8.468 alpha=80.24 beta=66.28 gamma=66.28
Fractional coordinates of all 13 atoms:
Na1 0.508 0.783 0.201
Na2 0.982 0.353 0.682
Na3 0.350 0.650 0.650
Na4 0.682 0.318 0.318
Na5 0.508 0.201 0.783
Na6 0.982 0.682 0.353
Na7 0.269 0.231 0.231
Rb1 0.013 0.987 0.987
Sn1 0.022 0.513 0.999
Sn2 0.729 0.771 0.771
Sn3 0.022 0.999 0.513
Sn4 0.466 0.513 0.999
Sn5 0.466 0.999 0.513

Summary:
The value obtained for the density of states at the Fermi level is 7.2 states/eV/f.u. Its formation energy is -0.143 eV/atom. The calculation puts the spin magnetization at 0.000 μB/atom.

***

No. 10
Computed, not measured: a relaxed Rb2Na7Sn2 crystal at the PBE-GGA level of DFT.

Unit cell a=6.042 b=8.288 c=8.288 alpha=77.93 beta=100.05 gamma=100.05
Fractional coordinates of all 11 atoms:
Na1 0.300 0.549 0.549
Na2 0.279 0.600 0.946
Na3 0.721 0.400 0.054
Na4 0.721 0.054 0.400
Na5 0.500 0.000 0.000
Na6 0.700 0.451 0.451
Na7 0.279 0.946 0.600
Sn1 0.215 0.277 0.277
Sn2 0.785 0.723 0.723
Rb1 0.000 0.198 0.802
Rb2 0.000 0.802 0.198

Summary:
The value obtained for the density of states at the Fermi level is 3.5 states/eV/f.u. Its formation energy is -0.016 eV/atom. The calculation puts the spin magnetization at 0.000 μB/atom.

***

No. 11
Computed, not measured: a relaxed Rb2NaSn crystal at the PBE-GGA level of DFT.

Unit cell a=7.137 b=10.449 c=12.332 alpha=115.40 beta=90.00 gamma=90.00
Fractional coordinates of all 16 atoms:
Rb1 0.775 0.631 0.759
Rb2 0.250 0.420 0.836
Rb3 0.225 0.369 0.241
Rb4 0.275 0.869 0.241
Rb5 0.750 0.080 0.164
Rb6 0.750 0.580 0.164
Rb7 0.250 0.920 0.836
Rb8 0.725 0.131 0.759
Na1 0.000 0.285 0.500
Na2 0.500 0.785 0.500
Na3 0.500 0.215 0.500
Na4 0.000 0.715 0.500
Sn1 0.829 0.960 0.421
Sn2 0.171 0.040 0.579
Sn3 0.671 0.460 0.421
Sn4 0.329 0.540 0.579

Summary:
The value obtained for the density of states at the Fermi level is 2.8 states/eV/f.u. Its formation energy is -0.089 eV/atom. The calculation puts the spin magnetization at 0.000 μB/atom.

***

No. 12
Computed, not measured: a relaxed Rb2NaSn7 crystal at the PBE-GGA level of DFT.

Unit cell a=5.137 b=5.137 c=13.125 alpha=90.00 beta=90.00 gamma=90.00
Fractional coordinates of all 10 atoms:
Sn1 0.000 0.000 0.500
Sn2 0.500 0.000 0.371
Sn3 0.000 0.500 0.629
Sn4 0.500 0.500 0.500
Sn5 0.500 0.000 0.135
Sn6 0.000 0.000 0.000
Sn7 0.000 0.500 0.865
Na1 0.500 0.500 0.000
Rb1 0.500 0.000 0.748
Rb2 0.000 0.500 0.252

Summary:
The value obtained for the density of states at the Fermi level is 6.3 states/eV/f.u. Its formation energy is -0.128 eV/atom. The calculation puts the spin magnetization at 0.000 μB/atom.

***

No. 13
Computed, not measured: a relaxed RbNaSn6 crystal at the PBE-GGA level of DFT.

Unit cell a=5.267 b=6.681 c=7.299 alpha=90.00 beta=90.00 gamma=90.00
Fractional coordinates of all 8 atoms:
Na1 0.500 0.392 0.500
Sn1 0.500 0.866 0.718
Sn2 0.000 0.151 0.715
Sn3 0.500 0.866 0.282
Sn4 0.000 0.151 0.285
Sn5 0.000 0.744 0.500
Sn6 0.500 0.204 0.000
Rb1 0.000 0.626 0.000

Summary:
The value obtained for the density of states at the Fermi level is 2.4 states/eV/f.u. Its formation energy is -0.072 eV/atom. The calculation puts the spin magnetization at 0.000 μB/atom.

***

No. 14
Computed, not measured: a relaxed RbNa2Sn2 crystal at the PBE-GGA level of DFT.

Unit cell a=9.491 b=9.491 c=3.650 alpha=90.00 beta=90.00 gamma=90.00
Fractional coordinates of all 10 atoms:
Na1 0.678 0.822 0.500
Na2 0.178 0.678 0.500
Na3 0.322 0.178 0.500
Na4 0.822 0.322 0.500
Sn1 0.110 0.390 0.000
Sn2 0.890 0.610 0.000
Sn3 0.610 0.110 0.000
Sn4 0.390 0.890 0.000
Rb1 0.000 0.000 0.000
Rb2 0.500 0.500 0.000

Summary:
The value obtained for the density of states at the Fermi level is 1.8 states/eV/f.u. Its formation energy is -0.127 eV/atom. The calculation puts the spin magnetization at 0.000 μB/atom.

***

No. 15
Computed, not measured: a relaxed Rb3NaSn crystal at the PBE-GGA level of DFT.

Unit cell a=9.602 b=7.884 c=14.917 alpha=90.00 beta=85.98 gamma=90.00
Fractional coordinates of all 20 atoms:
Sn1 0.145 0.153 0.284
Sn2 0.855 0.847 0.716
Sn3 0.855 0.153 0.216
Sn4 0.145 0.847 0.784
Rb1 0.263 0.680 0.322
Rb2 0.506 0.230 0.383
Rb3 0.506 0.770 0.883
Rb4 0.737 0.320 0.678
Rb5 0.153 0.115 0.564
Rb6 0.737 0.680 0.178
Rb7 0.263 0.320 0.822
Rb8 0.494 0.230 0.117
Rb9 0.847 0.115 0.936
Rb10 0.153 0.885 0.064
Rb11 0.494 0.770 0.617
Rb12 0.847 0.885 0.436
Na1 0.918 0.384 0.392
Na2 0.082 0.616 0.608
Na3 0.082 0.384 0.108
Na4 0.918 0.616 0.892

Summary:
The value obtained for the density of states at the Fermi level is 3.5 states/eV/f.u. Its formation energy is -0.035 eV/atom. The calculation puts the spin magnetization at 0.000 μB/atom.

***

No. 16
Computed, not measured: a relaxed Rb2Na5Sn2 crystal at the PBE-GGA level of DFT.

Unit cell a=9.914 b=5.916 c=13.022 alpha=103.13 beta=112.37 gamma=90.00
Site moments in Bohr magnetons follow the coordinates.
Fractional coordinates of all 18 atoms:
Rb1 0.286 0.657 0.313  0.00
Rb2 0.474 0.845 0.687  0.00
Rb3 0.714 0.345 0.687  0.00
Rb4 0.526 0.157 0.313  0.00
Sn1 0.500 0.297 0.000  0.01
Sn2 0.000 0.797 0.000  0.01
Sn3 0.751 0.756 0.500  0.08
Sn4 0.249 0.256 0.500  0.08
Na1 0.166 0.301 0.999  0.00
Na2 0.078 0.752 0.500  0.00
Na3 0.667 0.803 0.001  0.00
Na4 0.013 0.085 0.245  0.00
Na5 0.333 0.801 0.999  0.00
Na6 0.987 0.840 0.755  0.00
Na7 0.268 0.340 0.755  0.00
Na8 0.732 0.585 0.245  0.00
Na9 0.922 0.252 0.500  0.00
Na10 0.834 0.303 0.001  0.00

Summary:
The value obtained for the density of states at the Fermi level is 7.4 states/eV/f.u. Its formation energy is -0.092 eV/atom. The calculation puts the spin magnetization at 0.027 μB/atom.

***

No. 17
Computed, not measured: a relaxed RbNa6Sn2 crystal at the PBE-GGA level of DFT.

Unit cell a=5.459 b=5.537 c=12.011 alpha=64.31 beta=76.87 gamma=60.47
Fractional coordinates of all 9 atoms:
Na1 0.669 0.717 0.946
Na2 0.666 0.015 0.653
Na3 0.334 0.985 0.347
Na4 0.001 0.827 0.171
Na5 0.331 0.283 0.054
Na6 0.999 0.173 0.829
Rb1 0.000 0.500 0.500
Sn1 0.668 0.415 0.249
Sn2 0.332 0.585 0.751

Summary:
The value obtained for the density of states at the Fermi level is 4.9 states/eV/f.u. Its formation energy is -0.118 eV/atom. The calculation puts the spin magnetization at 0.000 μB/atom.

***

No. 18
Computed, not measured: a relaxed Rb2NaSn crystal at the PBE-GGA level of DFT.

Unit cell a=13.442 b=13.442 c=9.986 alpha=47.70 beta=47.70 gamma=90.00
Site moments in Bohr magnetons follow the coordinates.
Fractional coordinates of all 8 atoms:
Rb1 0.965 0.625 0.250  0.02
Rb2 0.875 0.035 0.750  0.02
Rb3 0.785 0.125 0.250  0.02
Rb4 0.375 0.215 0.750  0.02
Sn1 0.750 0.250 0.500  0.35
Sn2 0.000 0.000 0.000  0.35
Na1 0.500 0.500 0.000  0.00
Na2 0.250 0.750 0.500  0.00

Summary:
The value obtained for the density of states at the Fermi level is 1.4 states/eV/f.u. Its formation energy is 0.067 eV/atom. The calculation puts the spin magnetization at 0.250 μB/atom.

***

No. 19
Computed, not measured: a relaxed Rb2NaSn10 crystal at the PBE-GGA level of DFT.

Unit cell a=6.567 b=11.808 c=13.858 alpha=90.00 beta=90.00 gamma=90.00
Fractional coordinates of all 26 atoms:
Sn1 0.000 0.630 0.779
Sn2 0.273 0.799 0.894
Sn3 0.000 0.635 0.000
Sn4 0.727 0.299 0.606
Sn5 0.000 0.130 0.721
Sn6 0.000 0.865 0.500
Sn7 0.000 0.365 0.000
Sn8 0.000 0.370 0.221
Sn9 0.727 0.201 0.106
Sn10 0.000 0.123 0.270
Sn11 0.727 0.701 0.394
Sn12 0.273 0.701 0.394
Sn13 0.000 0.877 0.730
Sn14 0.000 0.870 0.279
Sn15 0.273 0.299 0.606
Sn16 0.000 0.623 0.230
Sn17 0.273 0.201 0.106
Sn18 0.000 0.135 0.500
Sn19 0.727 0.799 0.894
Sn20 0.000 0.377 0.770
Na1 0.000 0.000 0.000
Na2 0.000 0.500 0.500
Rb1 0.500 0.338 0.352
Rb2 0.500 0.162 0.852
Rb3 0.500 0.662 0.648
Rb4 0.500 0.838 0.148

Summary:
The value obtained for the density of states at the Fermi level is 3.9 states/eV/f.u. Its formation energy is -0.013 eV/atom. The calculation puts the spin magnetization at 0.000 μB/atom.

***

No. 20
Computed, not measured: a relaxed Rb2Na3Sn2 crystal at the PBE-GGA level of DFT.

Unit cell a=5.586 b=7.399 c=8.281 alpha=66.87 beta=70.29 gamma=67.82
Fractional coordinates of all 7 atoms:
Na1 0.500 0.000 0.000
Na2 0.348 0.864 0.439
Na3 0.652 0.136 0.561
Rb1 0.840 0.542 0.778
Rb2 0.160 0.458 0.222
Sn1 0.896 0.020 0.188
Sn2 0.104 0.980 0.812

Summary:
The value obtained for the density of states at the Fermi level is 5.5 states/eV/f.u. Its formation energy is -0.126 eV/atom. The calculation puts the spin magnetization at 0.000 μB/atom.